Ho2SN after structural relaxation, computed with PBE.

Geometry as CIF:
```
data_Ho2SN
_cell_length_a 3.599
_cell_length_b 3.599
_cell_length_c 6.569
_cell_angle_alpha 74.10
_cell_angle_beta 74.10
_cell_angle_gamma 60.00
_space_group_name_H-M_alt 'P 1'
_space_group_IT_number 1
loop_
_space_group_symop_operation_xyz
'x,y,z'
loop_
_atom_site_label
_atom_site_fract_x
_atom_site_fract_y
_atom_site_fract_z
_atom_site_occupancy
S1 0.000 0.000 0.000 1
Ho1 0.236 0.236 0.292 1
Ho2 0.764 0.764 0.708 1
N1 0.500 0.500 0.500 1
```

Total moment   0.000 μB per atom
Electronic total energy   -29.1 eV for the cell shown
D(E_F)   1.16 states/eV per cell
ΔE_f (raw)   -1.870 eV per atom
Energy above the lowest structure with this stoichiometry   0.0 kJ per mole of atoms

=====

Ba2ZrHg after structural relaxation, computed with PBE.

Geometry as CIF:
```
data_Ba2ZrHg
_cell_length_a 5.748
_cell_length_b 5.748
_cell_length_c 5.748
_cell_angle_alpha 60.00
_cell_angle_beta 60.00
_cell_angle_gamma 60.00
_space_group_name_H-M_alt 'P 1'
_space_group_IT_number 1
loop_
_space_group_symop_operation_xyz
'x,y,z'
loop_
_atom_site_label
_atom_site_fract_x
_atom_site_fract_y
_atom_site_fract_z
_atom_site_occupancy
Ba1 0.000 0.000 0.000 1
Ba2 0.250 0.250 0.250 1
Hg1 0.500 0.500 0.500 1
Zr1 0.750 0.750 0.750 1
```

Total moment   0.625 μB per atom
Electronic total energy   -11.2 eV for the cell shown
ΔH_f (0 K)   381 meV/atom
D(E_F)   5.00 states/eV per cell

=====

YBeNiC after structural relaxation, computed with PBE.

Geometry as CIF:
```
data_YBeNiC
_cell_length_a 3.573
_cell_length_b 3.573
_cell_length_c 8.296
_cell_angle_alpha 90.00
_cell_angle_beta 90.00
_cell_angle_gamma 90.00
_space_group_name_H-M_alt 'P 1'
_space_group_IT_number 1
loop_
_space_group_symop_operation_xyz
'x,y,z'
loop_
_atom_site_label
_atom_site_fract_x
_atom_site_fract_y
_atom_site_fract_z
_atom_site_occupancy
Y1 0.000 0.500 0.844 1
Y2 0.500 0.000 0.156 1
Be1 0.000 0.500 0.343 1
Be2 0.500 0.000 0.657 1
Ni1 0.000 0.000 0.500 1
Ni2 0.500 0.500 0.500 1
C1 0.500 0.000 0.859 1
C2 0.000 0.500 0.141 1
```

Total moment   0.000 μB per atom
Electronic total energy   -52.0 eV for the cell shown
ΔH_f (0 K)   -206 meV/atom
D(E_F)   5.59 states/eV per cell

=====

La8Al2Ir after structural relaxation, computed with PBE.

Geometry as CIF:
```
data_La8Al2Ir
_cell_length_a 5.416
_cell_length_b 7.012
_cell_length_c 10.041
_cell_angle_alpha 113.22
_cell_angle_beta 105.65
_cell_angle_gamma 90.00
_space_group_name_H-M_alt 'P 1'
_space_group_IT_number 1
loop_
_space_group_symop_operation_xyz
'x,y,z'
loop_
_atom_site_label
_atom_site_fract_x
_atom_site_fract_y
_atom_site_fract_z
_atom_site_occupancy
La1 0.595 0.773 0.191 1
La2 0.348 0.630 0.695 1
La3 0.211 0.158 0.421 1
La4 0.009 0.236 0.019 1
La5 0.789 0.842 0.579 1
La6 0.652 0.370 0.305 1
La7 0.405 0.227 0.809 1
La8 0.991 0.764 0.981 1
Al1 0.178 0.659 0.356 1
Al2 0.822 0.341 0.644 1
Ir1 0.500 0.000 0.000 1
```

Total moment   0.000 μB per atom
Electronic total energy   -59.0 eV for the cell shown
ΔH_f (0 K)   -294 meV/atom
D(E_F)   10.89 states/eV per cell